(1)
LiCr2Ru PBE relaxed; ΔE_f = 0.2839 eV per atom; energy = -7.325 eV/atom; space-group type = Pmmm, No. 47
1.0
2.9724 0.0000 0.0000
0.0000 4.1238 0.0000
0.0000 0.0000 4.1297
Cr Ru Li
2 1 1
Direct
0.5000 0.5000 0.0000
0.0000 0.0000 0.0000
0.0000 0.5000 0.5000
0.5000 0.0000 0.5000

***

(2)
Si3SbAu PBE relaxed; E_form (uncorrected) = 0.826 eV/atom; relative energy among the computed polymorphs = 0 meV per atom; energy = -3.908 eV/atom; space-group type = Pm-3m, No. 221
1.0
4.8844 0.0000 0.0000
0.0000 4.8844 0.0000
0.0000 0.0000 4.8844
Si Au Sb
3 1 1
Direct
0.5000 0.0000 0.0000
0.0000 0.0000 0.5000
0.0000 0.5000 0.0000
0.0000 0.0000 0.0000
0.5000 0.5000 0.5000

***

(3)
ZrMnAl3 PBE relaxed; ΔE_f = 0.0524 eV per atom; energy = -5.737 eV/atom; space-group type = Pm-3m, No. 221
1.0
4.4487 0.0000 0.0000
0.0000 4.4487 0.0000
0.0000 0.0000 4.4487
Al Zr Mn
3 1 1
Direct
0.0000 0.0000 0.5000
0.5000 0.0000 0.0000
0.0000 0.5000 0.0000
0.5000 0.5000 0.5000
0.0000 0.0000 0.0000

***

(4)
Os2PbBr PBE relaxed; E_form (uncorrected) = 1.548 eV/atom; relative energy among the computed polymorphs = 1058 meV per atom; energy = -5.413 eV/atom; space-group type = Cmmm, No. 65
1.0
-3.1973 -1.9560 2.8085
2.0532 -4.1495 -0.7087
1.9462 0.5224 2.5795
Pb Os Br
1 2 1
Direct
0.5000 0.0000 0.5000
0.5000 0.5000 0.0000
0.0000 0.0000 0.0000
0.0000 0.5000 0.5000

***

(5)
CaScCu2 PBE relaxed; ΔE_f = -0.0333 eV per atom; relative energy among the computed polymorphs = 141 meV per atom; energy = -4.165 eV/atom; space-group type = P4mm, No. 99
1.0
-1.3218 2.5253 -1.7664
-2.1131 0.6563 2.5196
4.8605 4.5641 2.8877
Ca Cu Sc
1 2 1
Direct
0.5000 0.5000 0.8026
0.5000 0.5000 0.2184
0.0000 0.0000 0.0599
0.0000 0.0000 0.4191

***

(6)
CaDy2Se4 PBE relaxed; E_form (uncorrected) = -1.905 eV/atom; relative energy among the computed polymorphs = 12 meV per atom; energy = -5.497 eV/atom; space-group type = Cmcm, No. 63
1.0
-1.6823 -1.7102 -3.2823
-4.0830 -1.6394 5.4646
-7.5442 11.5751 -2.1643
Dy Ca Se
4 2 8
Direct
0.1341 0.2682 0.4290
0.8659 0.7318 0.5710
0.8659 0.7318 0.9290
0.1341 0.2682 0.0710
0.6137 0.2274 0.7500
0.3863 0.7726 0.2500
0.7736 0.5472 0.3816
0.5000 0.0000 0.0000
0.7736 0.5472 0.1184
0.0406 0.0812 0.2500
0.2264 0.4528 0.6184
0.2264 0.4528 0.8816
0.5000 0.0000 0.5000
0.9594 0.9188 0.7500

***

(7)
MnSn2 PBE relaxed; ΔE_f = 0.0137 eV per atom; energy = -5.711 eV/atom; space-group type = I4/mcm, No. 140
1.0
5.4065 -0.0017 0.0000
-2.6932 4.6880 0.0000
-1.3567 -2.3432 4.6797
Sn Mn
4 2
Direct
0.3356 0.8356 0.1713
0.8356 0.6644 0.5000
0.1644 0.3356 0.5000
0.6644 0.1644 0.8287
0.2500 0.2500 0.0000
0.7500 0.7500 0.0000

***

(8)
InSe4 PBE relaxed; E_form (uncorrected) = 0.073 eV/atom; relative energy among the computed polymorphs = 64 meV per atom; energy = -3.262 eV/atom; space-group type = I4/mmm, No. 139
1.0
0.3881 -6.5283 0.4153
-4.5429 -2.7411 -3.8458
4.5253 4.5979 -1.1501
In Se
1 4
Direct
0.0000 0.0000 0.0000
0.7039 0.7039 0.0000
0.2961 0.2961 0.0000
0.7500 0.2500 0.5000
0.2500 0.7500 0.5000

***

(9)
Tc2HgRu PBE relaxed; ΔE_f = 0.3584 eV per atom; energy = -7.219 eV/atom; space-group type = R-3m, No. 166
1.0
9.3816 -0.0191 -0.0112
8.9643 2.7668 -0.0112
8.9643 1.3426 2.4192
Tc Ru Hg
2 1 1
Direct
0.9927 0.9927 0.9927
0.5073 0.5073 0.5073
0.2500 0.2500 0.2500
0.7500 0.7500 0.7500

***

(10)
RbSb2Br PBE relaxed; E_form (uncorrected) = 0.332 eV/atom; relative energy among the computed polymorphs = 822 meV per atom; energy = -2.389 eV/atom; space-group type = Fm-3m, No. 225
1.0
0.0000 4.0518 4.0518
4.0518 0.0000 4.0518
4.0518 4.0518 0.0000
Sb Br Rb
2 1 1
Direct
0.7500 0.7500 0.7500
0.2500 0.2500 0.2500
0.0000 0.0000 0.0000
0.5000 0.5000 0.5000

***

(11)
YRe2Te PBE relaxed; E_form (uncorrected) = 0.629 eV/atom; energy = -7.997 eV/atom; space-group type = Pmmm, No. 47
1.0
3.1892 0.0000 0.0000
0.0000 4.4478 0.0000
0.0000 0.0000 5.7216
Re Y Te
2 1 1
Direct
0.0000 0.0000 0.4606
0.0000 0.0000 0.0394
0.5000 0.5000 0.7500
0.5000 0.5000 0.2500

***

(12)
La2ThSi PBE relaxed; E_form (uncorrected) = -0.228 eV/atom; relative energy among the computed polymorphs = 3 meV per atom; energy = -5.902 eV/atom; space-group type = P4/mmm, No. 123
1.0
-3.3039 1.0053 3.5261
-3.5348 -0.5895 -3.1439
-0.2192 -4.6299 1.1145
Si La Th
1 2 1
Direct
0.5000 0.5000 0.5000
0.0000 0.0000 0.5000
0.0000 0.5000 0.0000
0.5000 0.0000 0.0000